Version one
DFT (PBE-GGA) results for a relaxed structure of LiH2Br.

Lattice parameters (Å, degrees): 4.235 5.024 4.270 90.00 119.57 90.00
Space group Pm (No. 6)
Symmetry-distinct sites (fractional):
Li (0.000, 0.000, 0.000)
H (0.067, 0.500, 0.123)
H (0.950, 0.500, 0.920)
Br (0.332, 0.000, 0.662)

D(E_F)   0.00 states/eV per atom
Magnetization   0.0 μB/cell

Version two
DFT (PBE-GGA) results for a relaxed structure of LiH2Br.

Lattice parameters (Å, degrees): 4.687 4.687 9.827 90.00 90.00 90.00
Space group I-42d (No. 122)
Symmetry-distinct sites (fractional):
Li (0.000, 0.000, 0.000)
H (0.181, 0.250, 0.125)
Br (0.000, 0.000, 0.500)

D(E_F)   0.10 states/eV per atom
Magnetization   0.0 μB/cell

Energetically preferred structure: version one | next structure: +1206 meV/atom